No. 1
CaBeAs2 | PBE | optimized geometry

```
CaBeAs2
1.0
5.670 0.008 0.000
4.280 3.719 0.000
-1.426 -0.534 3.707
Be As Ca
1 2 1
Direct
0.563 0.563 0.906 Be
0.946 0.946 0.882 As
0.683 0.683 0.528 As
0.309 0.309 0.184 Ca
```

## Properties
electronic total energy = -17.16 eV/cell
size of the total moment = 0.0 μB/f.u.
ρ = 4.23 Mg/m³
formation energy = -12.3 kcal/mol of atoms
SG = No. 8

No. 2
Sr5As3 | PBE | optimized geometry

```
Sr5As3
1.0
-4.380 7.353 -2.910
3.405 -5.886 -5.956
-6.280 -3.710 0.077
As Sr
6 10
Direct
0.000 0.609 0.250 As
0.391 0.391 0.250 As
0.609 0.000 0.250 As
0.000 0.391 0.750 As
0.609 0.609 0.750 As
0.391 0.000 0.750 As
0.667 0.333 0.000 Sr
0.333 0.667 0.500 Sr
0.333 0.667 0.000 Sr
0.667 0.333 0.500 Sr
0.000 0.255 0.250 Sr
0.745 0.745 0.250 Sr
0.255 0.000 0.250 Sr
0.000 0.745 0.750 Sr
0.255 0.255 0.750 Sr
0.745 0.000 0.750 Sr
```

## Properties
electronic total energy = -61.77 eV/cell
size of the total moment = 0.9 μB/f.u.
ρ = 4.26 Mg/m³
formation energy = -24.6 kcal/mol of atoms
SG = No. 193

No. 3
K2NpTaO6 | PBE | optimized geometry

```
K2NpTaO6
1.0
-5.718 1.102 0.913
-1.134 -1.200 -5.658
-1.233 -8.011 1.946
K Np Ta O
4 2 2 12
Direct
0.500 0.750 0.250 K
0.000 0.250 0.750 K
0.500 0.750 0.750 K
0.000 0.250 0.250 K
0.500 0.250 0.500 Np
0.000 0.750 0.000 Np
0.000 0.750 0.500 Ta
0.500 0.250 0.000 Ta
0.500 0.250 0.242 O
0.500 0.250 0.758 O
0.000 0.750 0.258 O
0.000 0.750 0.742 O
0.242 0.992 0.500 O
0.758 0.992 0.500 O
0.242 0.508 0.500 O
0.758 0.508 0.500 O
0.742 0.492 0.000 O
0.258 0.492 0.000 O
0.258 0.008 0.000 O
0.742 0.008 0.000 O
```

## Properties
electronic total energy = -166.56 eV/cell
size of the total moment = 2.0 μB/f.u.
ρ = 6.79 Mg/m³
SG = No. 225
E_form (uncorrected) = -2654 meV/atom

No. 4
SmMg3Cu | PBE | optimized geometry

```
SmMg3Cu
1.0
-2.351 3.874 -1.124
-0.251 -1.471 -4.543
-4.469 -1.746 3.329
Sm Mg Cu
1 3 1
Direct
0.500 0.035 0.069 Sm
0.000 0.542 0.085 Mg
0.000 0.261 0.523 Mg
0.500 0.739 0.478 Mg
0.500 0.383 0.765 Cu
```

## Properties
electronic total energy = -13.71 eV/cell
size of the total moment = 0.0 μB/f.u.
ρ = 4.00 Mg/m³
formation energy = -0.5 kcal/mol of atoms
SG = No. 38

No. 5
Ho5Er2In5 | PBE | optimized geometry

```
Ho5Er2In5
1.0
-2.262 3.915 2.265
0.073 -5.344 3.664
10.426 5.408 1.064
Ho Er In
5 2 5
Direct
0.500 0.000 0.500 Ho
0.652 0.304 0.000 Ho
0.632 0.264 0.275 Ho
0.368 0.736 0.725 Ho
0.348 0.696 0.000 Ho
0.075 0.150 0.758 Er
0.925 0.850 0.242 Er
0.166 0.332 0.465 In
0.737 0.474 0.777 In
0.263 0.526 0.223 In
0.834 0.668 0.535 In
0.000 0.000 0.000 In
```

## Properties
electronic total energy = -49.34 eV/cell
size of the total moment = 0.0 μB/f.u.
ρ = 8.62 Mg/m³
formation energy = -7.0 kcal/mol of atoms
SG = No. 12

No. 6
KMnCu2 | PBE | optimized geometry

```
KMnCu2
1.0
5.089 0.000 0.000
0.000 5.089 0.000
0.000 0.000 2.811
Cu K Mn
2 1 1
Direct
0.000 0.000 0.000 Cu
0.500 0.500 0.000 Cu
0.500 0.000 0.500 K
0.000 0.500 0.500 Mn
```

## Properties
electronic total energy = -15.66 eV/cell
size of the total moment = 4.0 μB/f.u.
ρ = 5.04 Mg/m³
formation energy = 16.1 kcal/mol of atoms
SG = No. 123

No. 7
K2LaP | PBE | optimized geometry

```
K2LaP
1.0
4.074 0.000 0.000
0.000 4.211 -0.009
0.000 2.036 10.491
K La P
2 1 1
Direct
0.000 0.851 0.934 K
0.500 0.158 0.299 K
0.000 0.504 0.615 La
0.500 0.987 0.652 P
```

## Properties
electronic total energy = -14.60 eV/cell
size of the total moment = 0.0 μB/f.u.
ρ = 2.29 Mg/m³
formation energy = -11.9 kcal/mol of atoms
SG = No. 6

No. 8
CrCdSe2 | PBE | optimized geometry

```
CrCdSe2
1.0
-3.448 -0.854 -6.005
-2.731 -5.325 -3.587
0.850 3.486 5.984
Cd Cr Se
1 1 2
Direct
0.457 0.457 0.000 Cd
0.205 0.705 0.500 Cr
0.056 0.056 0.000 Se
0.782 0.282 0.500 Se
```

## Properties
electronic total energy = -18.35 eV/cell
size of the total moment = 3.8 μB/f.u.
ρ = 6.27 Mg/m³
SG = No. 44
E_form (uncorrected) = -210 meV/atom

No. 9
TlPPb | PBE | optimized geometry

```
TlPPb
1.0
5.728 -3.490 -0.220
4.992 -1.161 4.333
-6.601 0.233 -1.187
Tl P Pb
1 1 1
Direct
0.358 0.358 0.000 Tl
0.014 0.014 0.000 P
0.628 0.628 0.000 Pb
```

## Properties
electronic total energy = -10.99 eV/cell
size of the total moment = 0.0 μB/f.u.
ρ = 8.89 Mg/m³
formation energy = 3.8 kcal/mol of atoms
SG = No. 107

No. 10
CoAgTe3 | PBE | optimized geometry

```
CoAgTe3
1.0
5.076 0.000 0.000
0.000 5.076 0.000
0.000 0.000 5.076
Te Co Ag
3 1 1
Direct
0.000 0.500 0.000 Te
0.000 0.000 0.500 Te
0.500 0.000 0.000 Te
0.000 0.000 0.000 Co
0.500 0.500 0.500 Ag
```

## Properties
electronic total energy = -17.08 eV/cell
size of the total moment = 1.2 μB/f.u.
ρ = 6.98 Mg/m³
SG = No. 221
E_form (uncorrected) = 460 meV/atom

No. 11
BaLuInPb | PBE | optimized geometry

```
BaLuInPb
1.0
5.685 0.000 0.000
2.842 4.923 0.000
2.842 1.641 4.642
Pb Lu Ba In
1 1 1 1
Direct
0.250 0.250 0.250 Pb
0.000 0.000 0.000 Lu
0.500 0.500 0.500 Ba
0.750 0.750 0.750 In
```

## Properties
electronic total energy = -14.00 eV/cell
size of the total moment = 0.0 μB/f.u.
ρ = 8.11 Mg/m³
formation energy = -6.4 kcal/mol of atoms
SG = No. 216

No. 12
Sm2TmIn3Se6 | PBE | optimized geometry

```
Sm2TmIn3Se6
1.0
7.259 0.000 0.001
-3.628 6.288 0.001
-1.210 -2.096 7.737
Sm Tm In Se
2 1 3 6
Direct
0.333 0.667 0.000 Sm
0.667 0.333 0.000 Sm
0.000 0.000 0.000 Tm
0.168 0.832 0.500 In
0.832 0.168 0.500 In
0.500 0.500 0.500 In
0.930 0.606 0.791 Se
0.746 0.746 0.212 Se
0.070 0.394 0.209 Se
0.606 0.930 0.791 Se
0.254 0.254 0.788 Se
0.394 0.070 0.209 Se
```

## Properties
electronic total energy = -58.54 eV/cell
size of the total moment = 0.0 μB/f.u.
ρ = 6.06 Mg/m³
SG = No. 12
E_form (uncorrected) = -1292 meV/atom